[1]
# CsHfAs2 (GGA-PBE, optimized geometry)
data_CsHfAs2
_chemical_formula_sum 'Cs4 Hf4 As8'
_symmetry_space_group_name_H-M 'F m -3 m'
_symmetry_Int_Tables_number 225
_symmetry_space_group_name_Hall '-F 4 2 3'
_cell_length_a 7.349
_cell_length_b 7.349
_cell_length_c 7.349
_cell_angle_alpha 90.00
_cell_angle_beta 90.00
_cell_angle_gamma 90.00
loop_
_atom_site_label
_atom_site_fract_x
_atom_site_fract_y
_atom_site_fract_z
Cs1 0.000 0.000 0.000
Hf1 0.000 0.000 0.500
As1 0.250 0.250 0.250
# - energy above the lowest structure with this stoichiometry (meV/atom) = 881
# - ΔH_f (0 K) (eV per atom) = 0.280
# - DOS(E_F) (states/eV/f.u.) = 1.6

[2]
# CsHf3As (GGA-PBE, optimized geometry)
data_CsHf3As
_chemical_formula_sum 'Cs1 Hf3 As1'
_symmetry_space_group_name_H-M 'P m -3 m'
_symmetry_Int_Tables_number 221
_symmetry_space_group_name_Hall '-P 4 2 3'
_cell_length_a 5.187
_cell_length_b 5.187
_cell_length_c 5.187
_cell_angle_alpha 90.00
_cell_angle_beta 90.00
_cell_angle_gamma 90.00
loop_
_atom_site_label
_atom_site_fract_x
_atom_site_fract_y
_atom_site_fract_z
Cs1 0.000 0.000 0.000
Hf1 0.000 0.500 0.500
As1 0.500 0.500 0.500
# - energy above the lowest structure with this stoichiometry (meV/atom) = 0
# - ΔH_f (0 K) (eV per atom) = 0.769
# - DOS(E_F) (states/eV/f.u.) = 4.3

[3]
# CsHfAs3 (GGA-PBE, optimized geometry)
data_CsHfAs3
_chemical_formula_sum 'Cs1 Hf1 As3'
_symmetry_space_group_name_H-M 'P m -3 m'
_symmetry_Int_Tables_number 221
_symmetry_space_group_name_Hall '-P 4 2 3'
_cell_length_a 5.429
_cell_length_b 5.429
_cell_length_c 5.429
_cell_angle_alpha 90.00
_cell_angle_beta 90.00
_cell_angle_gamma 90.00
loop_
_atom_site_label
_atom_site_fract_x
_atom_site_fract_y
_atom_site_fract_z
Cs1 0.000 0.000 0.000
Hf1 0.500 0.500 0.500
As1 0.000 0.000 0.500
# - ΔH_f (0 K) (eV per atom) = 1.902
# - DOS(E_F) (states/eV/f.u.) = 3.5

[4]
# CsHf3As (GGA-PBE, optimized geometry)
data_CsHf3As
_chemical_formula_sum 'Cs1 Hf3 As1'
_symmetry_space_group_name_H-M 'P m -3 m'
_symmetry_Int_Tables_number 221
_symmetry_space_group_name_Hall '-P 4 2 3'
_cell_length_a 5.240
_cell_length_b 5.240
_cell_length_c 5.240
_cell_angle_alpha 90.00
_cell_angle_beta 90.00
_cell_angle_gamma 90.00
loop_
_atom_site_label
_atom_site_fract_x
_atom_site_fract_y
_atom_site_fract_z
Cs1 0.000 0.000 0.000
Hf1 0.000 0.000 0.500
As1 0.500 0.500 0.500
# - energy above the lowest structure with this stoichiometry (meV/atom) = 1610
# - ΔH_f (0 K) (eV per atom) = 2.379
# - DOS(E_F) (states/eV/f.u.) = 11.7

[5]
# CsHfAs2 (GGA-PBE, optimized geometry)
data_CsHfAs2
_chemical_formula_sum 'Cs3 Hf3 As6'
_symmetry_space_group_name_H-M 'R -3 m'
_symmetry_Int_Tables_number 166
_symmetry_space_group_name_Hall '-R 3 2"'
_cell_length_a 4.0470
_cell_length_b 4.0470
_cell_length_c 24.8847
_cell_angle_alpha 90.00
_cell_angle_beta 90.00
_cell_angle_gamma 120.00
loop_
_atom_site_label
_atom_site_fract_x
_atom_site_fract_y
_atom_site_fract_z
Cs1 0.0000 0.0000 0.0000
Hf1 0.0000 0.0000 0.5000
As1 0.0000 0.0000 0.2233
# - energy above the lowest structure with this stoichiometry (meV/atom) = 0
# - ΔH_f (0 K) (eV per atom) = -0.600
# - DOS(E_F) (states/eV/f.u.) = 2.4

[6]
# Cs2HfAsI6 (GGA-PBE, optimized geometry)
data_Cs2HfAsI6
_chemical_formula_sum 'Cs4 Hf2 As2 I12'
_symmetry_space_group_name_H-M 'I 4/m m m'
_symmetry_Int_Tables_number 139
_symmetry_space_group_name_Hall '-I 4 2'
_cell_length_a 8.951
_cell_length_b 8.951
_cell_length_c 12.673
_cell_angle_alpha 90.00
_cell_angle_beta 90.00
_cell_angle_gamma 90.00
loop_
_atom_site_label
_atom_site_fract_x
_atom_site_fract_y
_atom_site_fract_z
Cs1 0.000 0.500 0.250
Hf1 0.000 0.000 0.000
As1 0.000 0.000 0.500
I1 0.000 0.000 0.226
I2 0.226 0.226 0.000
# - DOS(E_F) (states/eV/f.u.) = 0.0
# - DFT total energy (eV/atom) = -3.3616